## Tl2SBr (PBE-GGA)

Data for a relaxed Tl2SBr crystal.

Computed properties:
ΔE_f (raw) in eV per atom: -0.48
Distance to the lowest polymorph of the same formula in meV per atom: 0

abc: 5.2775 11.4342 4.4449
angles: 90.00 90.00 90.00
Sites, in units of the cell vectors:
Tl: 0.0000 0.0816 0.0000
Tl: 0.0000 0.6400 0.3382
Tl: 0.5000 0.3600 0.8382
Tl: 0.5000 0.9184 0.5000
S: 0.0000 0.9049 0.4573
S: 0.5000 0.0951 0.9573
Br: 0.0000 0.3330 0.3618
Br: 0.5000 0.6670 0.8618